Density functional theory data (PBE) for crystalline Na3Tl2Pt at its relaxed geometry.

## Properties
* energy above the most stable polymorph in this dataset: 0 meV/atom
* calculated density: 6.306 g/cm³
* density of states at the Fermi level: 3.56 states/eV/f.u.
* magnetic moment: 0.000 μB per formula unit

Structure (POSCAR):
```
Na3Tl2Pt
1.0
-4.7923 6.1798 2.9910
4.7923 -6.1798 2.9910
4.7923 6.1798 -2.9910
Na Tl Pt
6 4 2
Cartesian
5.9747 2.3451 0.0000
0.0000 0.0000 1.4955
1.1825 3.8347 0.0000
3.6098 2.3451 2.9910
0.0000 0.0000 4.4866
-1.1825 3.8347 2.9910
2.6901 1.0795 0.0000
2.6901 -1.0795 2.9910
2.1022 7.2593 0.0000
2.1022 5.1002 2.9910
4.7923 0.0000 1.4955
0.0000 6.1798 1.4955
```

Density functional theory data (PBE) for crystalline Li2SiSe at its relaxed geometry.

## Properties
* energy above the most stable polymorph in this dataset: 0 meV/atom
* calculated density: 2.759 g/cm³
* density of states at the Fermi level: 0.32 states/eV/f.u.
* magnetic moment: 0.000 μB per formula unit
* ΔE_f (raw): -45.8 kJ/mol of atoms

Structure (POSCAR):
```
Li2SiSe
1.0
3.5444 0.0000 0.0000
0.0000 3.6113 0.0000
0.0000 0.0000 11.3723
Li Si Se
4 2 2
Cartesian
0.0000 0.0000 0.0000
0.0000 0.0000 2.9784
0.0000 1.8057 5.6861
0.0000 1.8057 8.6645
1.7722 0.0000 7.2948
1.7722 1.8057 1.6087
1.7722 0.0000 4.9699
1.7722 1.8057 10.6560
```

Density functional theory data (PBE) for crystalline LiAg8Ge2 at its relaxed geometry.

## Properties
* energy: -3.00 eV per atom
* calculated density: 8.346 g/cm³
* density of states at the Fermi level: 3.35 states/eV/f.u.
* magnetic moment: 0.000 μB per formula unit

Structure (POSCAR):
```
LiAg8Ge2
1.0
3.7332 -6.2655 0.0000
3.7332 6.2655 0.0000
-1.9394 0.0000 4.3178
Li Ag Ge
1 8 2
Cartesian
0.0000 0.0000 0.0000
0.3352 1.4253 2.6853
3.7332 3.5837 0.0000
0.3352 -1.4253 2.6853
2.5238 0.0000 0.8049
3.0031 0.0000 3.5129
5.1918 1.4253 1.6325
3.7332 -3.5837 0.0000
5.1918 -1.4253 1.6325
2.7635 2.4182 2.1589
2.7635 -2.4182 2.1589
```

What did the second record say?
Density functional theory data (PBE) for crystalline Li2SiSe at its relaxed geometry.

## Properties
* energy above the most stable polymorph in this dataset: 0 meV/atom
* calculated density: 2.759 g/cm³
* density of states at the Fermi level: 0.32 states/eV/f.u.
* magnetic moment: 0.000 μB per formula unit
* ΔE_f (raw): -45.8 kJ/mol of atoms

Structure (POSCAR):
```
Li2SiSe
1.0
3.5444 0.0000 0.0000
0.0000 3.6113 0.0000
0.0000 0.0000 11.3723
Li Si Se
4 2 2
Cartesian
0.0000 0.0000 0.0000
0.0000 0.0000 2.9784
0.0000 1.8057 5.6861
0.0000 1.8057 8.6645
1.7722 0.0000 7.2948
1.7722 1.8057 1.6087
1.7722 0.0000 4.9699
1.7722 1.8057 10.6560
```

magnetic moment of number 3 (LiAg8Ge2)?
0.000 μB per formula unit

What did the second record say?
Density functional theory data (PBE) for crystalline Li2SiSe at its relaxed geometry.

## Properties
* energy above the most stable polymorph in this dataset: 0 meV/atom
* calculated density: 2.759 g/cm³
* density of states at the Fermi level: 0.32 states/eV/f.u.
* magnetic moment: 0.000 μB per formula unit
* ΔE_f (raw): -45.8 kJ/mol of atoms

Structure (POSCAR):
```
Li2SiSe
1.0
3.5444 0.0000 0.0000
0.0000 3.6113 0.0000
0.0000 0.0000 11.3723
Li Si Se
4 2 2
Cartesian
0.0000 0.0000 0.0000
0.0000 0.0000 2.9784
0.0000 1.8057 5.6861
0.0000 1.8057 8.6645
1.7722 0.0000 7.2948
1.7722 1.8057 1.6087
1.7722 0.0000 4.9699
1.7722 1.8057 10.6560
```